[1]
A relaxed NiSbBr2 crystal, computed with PBE-GGA.

The space group is R-3m (No. 166, hexagonal axes) and the conventional cell measures 3.5637, 3.5637 and 26.7300 Å, with angles of 90.00, 90.00 and 120.00 degrees. Symmetry generates all atoms from Ni at (0.0000, 0.0000, 0.0000), Sb at (0.0000, 0.0000, 0.5000) and Br at (0.0000, 0.0000, 0.2787).

The raw total energy comes out at -0.2402 Ry/atom. The calculation puts the uncorrected formation energy at 0.0441 eV/atom. For the volume, the calculation gives 24.50 A^3/atom.


[2]
A relaxed NiSb2Br crystal, computed with PBE-GGA.

The space group is Fm-3m (No. 225) and the conventional cell measures 7.0289, 7.0289 and 7.0289 Å, with angles of 90.00, 90.00 and 90.00 degrees. Symmetry generates all atoms from Ni at (0.0000, 0.0000, 0.0000), Sb at (0.2500, 0.2500, 0.2500) and Br at (0.0000, 0.0000, 0.5000).

The raw total energy comes out at -0.2549 Ry/atom. The calculation puts the uncorrected formation energy at 0.4571 eV/atom. For the volume, the calculation gives 21.70 A^3/atom.


[3]
A relaxed NiSb2Br crystal, computed with PBE-GGA.

The space group is C2/m (No. 12) and the conventional cell measures 7.8723, 7.8672 and 3.1909 Å, with angles of 90.00, 90.69 and 90.00 degrees. Symmetry generates all atoms from Ni at (0.0000, 0.0000, 0.0000), Sb at (0.2500, 0.2500, 0.0000) and Br at (0.0000, 0.5000, 0.0000).

The raw total energy comes out at -0.2678 Ry/atom. The calculation puts the uncorrected formation energy at 0.2814 eV/atom. For the volume, the calculation gives 24.70 A^3/atom.


[4]
A relaxed NiSb2Br crystal, computed with PBE-GGA.

The space group is P4/mmm (No. 123) and the conventional cell measures 4.2087, 4.2087 and 5.3506 Å, with angles of 90.00, 90.00 and 90.00 degrees. Symmetry generates all atoms from Ni at (0.0000, 0.0000, 0.0000), Sb at (0.0000, 0.5000, 0.5000) and Br at (0.5000, 0.5000, 0.0000).

The raw total energy comes out at -0.2467 Ry/atom. The calculation puts the uncorrected formation energy at 0.5677 eV/atom. For the volume, the calculation gives 23.69 A^3/atom.